DFT (PBE) results for crystalline Sr3Sb at its relaxed geometry.

Unit cell a=8.571 b=8.571 c=8.571 alpha=90.00 beta=90.00 gamma=90.00
Space group Fm-3m (No. 225)
Symmetry-distinct sites (fractional):
Sr  0.000  0.000  0.000 x4
Sr  0.250  0.250  0.250 x8
Sb  0.000  0.000  0.500 x4

Summary:
* E: -40.88 eV/cell
* D(E_F): 3.31 states/eV/f.u.